(1)
The following is a DFT calculation (PBE) of a relaxed structure of PdO2.

Cell: 3.9373 6.1980 2.9523 Å, 90.00 90.00 90.00°
Atoms (fractional coordinates):
Pd: 0.0000 0.0000 0.0000
Pd: 0.5000 0.5000 0.0000
O: 0.0000 0.2141 0.5000
O: 0.0000 0.7859 0.5000
O: 0.5000 0.2859 0.5000
O: 0.5000 0.7141 0.5000

VASP energy   -4.87 eV per atom
Space-group type   Cmmm, No. 65
Calculated volume   12.01 A^3/atom

---

(2)
The following is a DFT calculation (PBE) of a relaxed structure of PdO2.

Cell: 7.2111 7.2111 7.2111 Å, 92.67 92.67 155.06°
Atoms (fractional coordinates):
Pd: 0.1476 0.3293 0.4769
Pd: 0.3293 0.8524 0.1817
Pd: 0.6707 0.1476 0.8183
Pd: 0.8524 0.6707 0.5231
O: 0.0496 0.6777 0.7273
O: 0.3037 0.6495 0.9532
O: 0.3223 0.0496 0.3719
O: 0.3505 0.3037 0.6542
O: 0.6495 0.6963 0.3458
O: 0.6777 0.9504 0.6281
O: 0.6963 0.3505 0.0468
O: 0.9504 0.3223 0.2727

VASP energy   -5.32 eV per atom
Space-group type   I4/m, No. 87
Calculated volume   12.87 A^3/atom

---

(3)
The following is a DFT calculation (PBE) of a relaxed structure of PdO2.

Cell: 2.8346 2.8346 8.8763 Å, 90.00 90.00 90.00°
Atoms (fractional coordinates):
Pd: 0.2500 0.2500 0.1486
Pd: 0.7500 0.7500 0.8514
O: 0.2500 0.2500 0.8027
O: 0.2500 0.7500 0.5000
O: 0.7500 0.2500 0.5000
O: 0.7500 0.7500 0.1973

VASP energy   -4.35 eV per atom
Space-group type   P4/nmm, No. 129
Calculated volume   11.89 A^3/atom

---

(4)
The following is a DFT calculation (PBE) of a relaxed structure of PdO.

Cell: 2.9727 3.8990 4.0651 Å, 90.00 90.00 90.00°
Atoms (fractional coordinates):
Pd: 0.2500 0.2500 0.1994
Pd: 0.7500 0.7500 0.8006
O: 0.2500 0.7500 0.3448
O: 0.7500 0.2500 0.6552

VASP energy   -4.94 eV per atom
Space-group type   Pmmn, No. 59
Calculated volume   11.78 A^3/atom

---

(5)
The following is a DFT calculation (PBE) of a relaxed structure of Pd3O5.

Cell: 6.2403 6.2403 6.4704 Å, 104.98 104.98 47.46°
Atoms (fractional coordinates):
Pd: 0.0000 0.0000 0.0000
Pd: 0.0000 0.0000 0.5000
Pd: 0.3370 0.3392 0.6632
Pd: 0.3392 0.3370 0.1632
Pd: 0.6608 0.6630 0.8368
Pd: 0.6630 0.6608 0.3368
O: 0.0753 0.6127 0.9311
O: 0.1016 0.5974 0.4084
O: 0.3297 0.6703 0.7500
O: 0.3873 0.9247 0.5689
O: 0.4026 0.8984 0.0916
O: 0.5974 0.1016 0.9084
O: 0.6127 0.0753 0.4311
O: 0.6703 0.3297 0.2500
O: 0.8984 0.4026 0.5916
O: 0.9247 0.3873 0.0689

VASP energy   -5.23 eV per atom
Space-group type   C2/c, No. 15
Calculated volume   11.13 A^3/atom

---

(6)
The following is a DFT calculation (PBE) of a relaxed structure of Pd3O.

Cell: 8.4027 4.8157 5.5951 Å, 90.00 90.00 90.00°
Atoms (fractional coordinates):
Pd: 0.0000 0.0000 0.0000
Pd: 0.0000 0.0000 0.5000
Pd: 0.1809 0.4095 0.2500
Pd: 0.1809 0.5905 0.7500
Pd: 0.3191 0.0905 0.7500
Pd: 0.3191 0.9095 0.2500
Pd: 0.5000 0.5000 0.0000
Pd: 0.5000 0.5000 0.5000
Pd: 0.6809 0.0905 0.7500
Pd: 0.6809 0.9095 0.2500
Pd: 0.8191 0.4095 0.2500
Pd: 0.8191 0.5905 0.7500
O: 0.0000 0.2996 0.7500
O: 0.0000 0.7004 0.2500
O: 0.5000 0.2004 0.2500
O: 0.5000 0.7996 0.7500

VASP energy   -5.11 eV per atom
Space-group type   Cmcm, No. 63
Calculated volume   14.15 A^3/atom

---

(7)
The following is a DFT calculation (PBE) of a relaxed structure of PdO2.

Cell: 3.0765 3.0772 4.6302 Å, 72.05 71.73 60.10°
Atoms (fractional coordinates):
Pd: 0.0000 0.0000 0.0000
O: 0.2602 0.2640 0.2285
O: 0.7398 0.7360 0.7715

VASP energy   -5.34 eV per atom
Space-group type   P-1, No. 2
Calculated volume   11.82 A^3/atom

---

(8)
The following is a DFT calculation (PBE) of a relaxed structure of PdO.

Cell: 2.9398 2.9398 3.0524 Å, 90.00 90.00 120.00°
Atoms (fractional coordinates):
Pd: 0.0000 0.0000 0.0000
O: 0.3333 0.6667 0.5000

VASP energy   -4.87 eV per atom
Space-group type   P-6m2, No. 187
Calculated volume   11.42 A^3/atom

---

(9)
The following is a DFT calculation (PBE) of a relaxed structure of PdO.

Cell: 4.5602 4.0426 5.4571 Å, 90.00 92.23 90.00°
Atoms (fractional coordinates):
Pd: 0.2500 0.2500 0.0000
Pd: 0.2500 0.7500 0.5000
Pd: 0.7500 0.2500 0.5000
Pd: 0.7500 0.7500 0.0000
O: 0.0000 0.0110 0.2500
O: 0.0000 0.9890 0.7500
O: 0.5000 0.4890 0.7500
O: 0.5000 0.5110 0.2500

VASP energy   -5.48 eV per atom
Space-group type   C2/c, No. 15
Calculated volume   12.57 A^3/atom

---

(10)
The following is a DFT calculation (PBE) of a relaxed structure of PdO2.

Cell: 4.5491 4.5491 6.3092 Å, 90.00 90.00 90.00°
Atoms (fractional coordinates):
Pd: 0.0033 0.0033 0.0000
Pd: 0.4967 0.5033 0.2500
Pd: 0.5033 0.4967 0.7500
Pd: 0.9967 0.9967 0.5000
O: 0.1567 0.2271 0.7467
O: 0.2271 0.1567 0.2533
O: 0.2729 0.6567 0.9967
O: 0.3433 0.7271 0.5033
O: 0.6567 0.2729 0.0033
O: 0.7271 0.3433 0.4967
O: 0.7729 0.8433 0.7533
O: 0.8433 0.7729 0.2467

VASP energy   -5.29 eV per atom
Space-group type   P4_12_12, No. 92
Calculated volume   10.88 A^3/atom

---

(11)
The following is a DFT calculation (PBE) of a relaxed structure of Pd4O11.

Cell: 4.9829 5.2041 7.6236 Å, 95.08 105.98 113.58°
Atoms (fractional coordinates):
Pd: 0.0000 0.0000 0.0000
Pd: 0.0212 0.0438 0.4601
Pd: 0.3629 0.6865 0.6485
Pd: 0.6859 0.4066 0.2659
O: 0.0270 0.2732 0.8246
O: 0.1264 0.4125 0.3438
O: 0.2248 0.2987 0.7296
O: 0.2487 0.4014 0.1974
O: 0.3751 0.9038 0.0265
O: 0.4747 0.0623 0.5383
O: 0.5313 0.9806 0.9092
O: 0.5714 0.0356 0.3857
O: 0.7877 0.6688 0.7337
O: 0.8464 0.7860 0.1981
O: 0.9209 0.6882 0.5950

Energy above the most stable polymorph in this dataset   28.4 meV/atom
VASP energy   -4.99 eV per atom
Space-group type   P1, No. 1
Calculated volume   11.31 A^3/atom

---

(12)
The following is a DFT calculation (PBE) of a relaxed structure of PdO.

Cell: 4.8489 4.8489 4.8489 Å, 90.00 90.00 90.00°
Atoms (fractional coordinates):
Pd: 0.0000 0.0000 0.0000
Pd: 0.0000 0.5000 0.5000
Pd: 0.5000 0.0000 0.5000
Pd: 0.5000 0.5000 0.0000
O: 0.2500 0.2500 0.2500
O: 0.2500 0.7500 0.7500
O: 0.7500 0.2500 0.7500
O: 0.7500 0.7500 0.2500

VASP energy   -4.90 eV per atom
Space-group type   F-43m, No. 216
Calculated volume   14.25 A^3/atom

---

(13)
The following is a DFT calculation (PBE) of a relaxed structure of PmPdO3.

Cell: 3.9316 3.9316 4.1990 Å, 90.00 90.00 90.00°
Atoms (fractional coordinates):
Pm: 0.0000 0.0000 0.0000
Pd: 0.5000 0.5000 0.4167
O: 0.0000 0.5000 0.3409
O: 0.5000 0.0000 0.3409
O: 0.5000 0.5000 0.9094

VASP energy   -6.62 eV per atom
Space-group type   P4mm, No. 99
Calculated volume   12.98 A^3/atom

---

(14)
The following is a DFT calculation (PBE) of a relaxed structure of PmPdO3.

Cell: 5.9373 8.1297 5.6954 Å, 90.00 90.00 90.00°
Atoms (fractional coordinates):
Pm: 0.0000 0.0000 0.0000
Pm: 0.0000 0.5000 0.0000
Pm: 0.5000 0.0000 0.5000
Pm: 0.5000 0.5000 0.5000
Pd: 0.0487 0.2500 0.4910
Pd: 0.4513 0.7500 0.9910
Pd: 0.5487 0.2500 0.0090
Pd: 0.9513 0.7500 0.5090
O: 0.1493 0.7500 0.1596
O: 0.1588 0.5878 0.6490
O: 0.1588 0.9122 0.6490
O: 0.3412 0.0878 0.1490
O: 0.3412 0.4122 0.1490
O: 0.3507 0.2500 0.6596
O: 0.6493 0.7500 0.3404
O: 0.6588 0.5878 0.8510
O: 0.6588 0.9122 0.8510
O: 0.8412 0.0878 0.3510
O: 0.8412 0.4122 0.3510
O: 0.8507 0.2500 0.8404

VASP energy   -6.53 eV per atom
Space-group type   Pnma, No. 62
Calculated volume   13.75 A^3/atom

---

(15)
The following is a DFT calculation (PBE) of a relaxed structure of PmPdO3.

Cell: 5.4135 5.4135 5.4135 Å, 64.54 64.54 64.54°
Atoms (fractional coordinates):
Pm: 0.2500 0.2500 0.2500
Pm: 0.7500 0.7500 0.7500
Pd: 0.0000 0.0000 0.0000
Pd: 0.5000 0.5000 0.5000
O: 0.1473 0.7500 0.3527
O: 0.2500 0.6473 0.8527
O: 0.3527 0.1473 0.7500
O: 0.6473 0.8527 0.2500
O: 0.7500 0.3527 0.1473
O: 0.8527 0.2500 0.6473

VASP energy   -6.79 eV per atom
Space-group type   R-3c, No. 167
Calculated volume   12.33 A^3/atom

---

(16)
The following is a DFT calculation (PBE) of a relaxed structure of Pm2Pd2O5.

Cell: 4.0337 4.0337 6.9815 Å, 90.00 90.00 90.00°
Atoms (fractional coordinates):
Pm: 0.0000 0.0000 0.0000
Pm: 0.0000 0.0000 0.5000
Pd: 0.5000 0.5000 0.1928
Pd: 0.5000 0.5000 0.8072
O: 0.0000 0.5000 0.2286
O: 0.0000 0.5000 0.7714
O: 0.5000 0.0000 0.2286
O: 0.5000 0.0000 0.7714
O: 0.5000 0.5000 0.5000

Energy above the most stable polymorph in this dataset   0.0 meV/atom
VASP energy   -6.71 eV per atom
Space-group type   P4/mmm, No. 123
Calculated volume   12.62 A^3/atom

---

(17)
The following is a DFT calculation (PBE) of a relaxed structure of PmPdO3.

Cell: 5.9323 5.9323 5.9323 Å, 59.97 59.97 59.97°
Atoms (fractional coordinates):
Pm: 0.0000 0.0000 0.0000
Pm: 0.5000 0.5000 0.5000
Pd: 0.2500 0.2500 0.2500
Pd: 0.7500 0.7500 0.7500
O: 0.0774 0.7500 0.4226
O: 0.2500 0.5774 0.9226
O: 0.4226 0.0774 0.7500
O: 0.5774 0.9226 0.2500
O: 0.7500 0.4226 0.0774
O: 0.9226 0.2500 0.5774

VASP energy   -6.46 eV per atom
Space-group type   R-3c, No. 167
Calculated volume   14.75 A^3/atom

---

(18)
The following is a DFT calculation (PBE) of a relaxed structure of Pm2Pd2O5.

Cell: 3.8223 3.8223 9.3428 Å, 90.00 90.00 90.00°
Atoms (fractional coordinates):
Pm: 0.0000 0.0000 0.2435
Pm: 0.0000 0.0000 0.7565
Pd: 0.5000 0.5000 0.0000
Pd: 0.5000 0.5000 0.5000
O: 0.0000 0.0000 0.0000
O: 0.0000 0.5000 0.3693
O: 0.0000 0.5000 0.6307
O: 0.5000 0.0000 0.3693
O: 0.5000 0.0000 0.6307

Energy above the most stable polymorph in this dataset   316.9 meV/atom
VASP energy   -6.39 eV per atom
Space-group type   P4/mmm, No. 123
Calculated volume   15.17 A^3/atom

---

(19)
The following is a DFT calculation (PBE) of a relaxed structure of PmPdO3.

Cell: 5.9343 7.6717 5.4863 Å, 90.00 90.00 90.00°
Atoms (fractional coordinates):
Pm: 0.0796 0.2500 0.0267
Pm: 0.4204 0.7500 0.5267
Pm: 0.5796 0.2500 0.4733
Pm: 0.9204 0.7500 0.9733
Pd: 0.0000 0.0000 0.5000
Pd: 0.0000 0.5000 0.5000
Pd: 0.5000 0.0000 0.0000
Pd: 0.5000 0.5000 0.0000
O: 0.0455 0.7500 0.3750
O: 0.1941 0.5555 0.8139
O: 0.1941 0.9445 0.8139
O: 0.3059 0.0555 0.3139
O: 0.3059 0.4445 0.3139
O: 0.4545 0.2500 0.8750
O: 0.5455 0.7500 0.1250
O: 0.6941 0.5555 0.6861
O: 0.6941 0.9445 0.6861
O: 0.8059 0.0555 0.1861
O: 0.8059 0.4445 0.1861
O: 0.9545 0.2500 0.6250

VASP energy   -6.86 eV per atom
Space-group type   Pnma, No. 62
Calculated volume   12.49 A^3/atom

---

(20)
The following is a DFT calculation (PBE) of a relaxed structure of PmPdO3.

Cell: 5.8492 5.8492 5.8492 Å, 58.47 58.47 58.47°
Atoms (fractional coordinates):
Pm: 0.1306 0.1306 0.1306
Pm: 0.8694 0.8694 0.8694
Pd: 0.3444 0.3444 0.3444
Pd: 0.6556 0.6556 0.6556
O: 0.0512 0.4652 0.7186
O: 0.2814 0.9488 0.5348
O: 0.4652 0.7186 0.0512
O: 0.5348 0.2814 0.9488
O: 0.7186 0.0512 0.4652
O: 0.9488 0.5348 0.2814

VASP energy   -6.64 eV per atom
Space-group type   R-3, No. 148
Calculated volume   13.66 A^3/atom

---

Density values, unit Mg/m³, following the record order: 6.38, 5.95, 6.45, 8.63, 7.45, 9.84, 6.48, 8.90, 8.09, 7.04, 5.89, 7.13, 7.66, 7.23, 8.06, 8.52, 6.74, 7.09, 7.96, 7.28.